# MnPt2Br GGA-PBE relaxed
data_MnPt2Br
_cell_length_a 2.933
_cell_length_b 4.178
_cell_length_c 12.646
_cell_angle_alpha 90.00
_cell_angle_beta 90.00
_cell_angle_gamma 90.00
_space_group_name_H-M_alt 'I m m 2'
_space_group_IT_number 44
_space_group_name_Hall 'I 2 -2'
loop_
_atom_site_label
_atom_site_type_symbol
_atom_site_fract_x
_atom_site_fract_y
_atom_site_fract_z
Mn1 Mn 0.000 0.000 0.000
Pt1 Pt 0.000 0.000 0.557
Pt2 Pt 0.000 0.500 0.683
Br1 Br 0.000 0.500 0.334
# Relative energy among the computed polymorphs, meV/atom: 153
# Raw formation energy, eV per atom: 0.202
# Energy, eV/atom: -5.53
# Magnetic moment, μB/f.u.: 3.538

=====

# La6ZnSn2 GGA-PBE relaxed
data_La6ZnSn2
_cell_length_a 8.3660
_cell_length_b 8.3660
_cell_length_c 4.7702
_cell_angle_alpha 90.00
_cell_angle_beta 90.00
_cell_angle_gamma 120.00
_space_group_name_H-M_alt 'P -6 2 m'
_space_group_IT_number 189
_space_group_name_Hall 'P -6 -2'
loop_
_atom_site_label
_atom_site_type_symbol
_atom_site_fract_x
_atom_site_fract_y
_atom_site_fract_z
La1 La 0.0000 0.2240 0.0000
La2 La 0.0000 0.5616 0.5000
Zn1 Zn 0.0000 0.0000 0.5000
Sn1 Sn 0.3333 0.6667 0.0000
# Energy, eV/atom: -4.79
# Magnetic moment, μB/f.u.: 0.002
# Energy relative to the elements, eV/atom: -0.478